Model A:
Material: InHg2Pd8
Method: DFT, PBE
State: relaxed

Calculated values
- calculated volume (Å³/cell) = 196.3
- Fermi-level density of states (states/eV per atom) = 0.67

The structure in POSCAR format:
```
InHg2Pd8
1.0
4.890 1.632 0.000
2.809 7.164 0.000
1.404 3.582 6.446
In Hg Pd
1 2 8
Direct
0.500 0.000 0.000
0.000 0.306 0.389
0.000 0.694 0.611
0.885 0.103 0.222
0.885 0.325 0.778
0.321 0.414 0.000
0.500 0.785 0.430
0.500 0.215 0.570
0.679 0.586 0.000
0.115 0.675 0.222
0.115 0.897 0.778
```



Model B:
Material: InHg2Pd8
Method: DFT, PBE
State: relaxed

Calculated values
- calculated volume (Å³/cell) = 194.3
- Fermi-level density of states (states/eV per atom) = 0.79

The structure in POSCAR format:
```
InHg2Pd8
1.0
3.823 0.000 -1.164
-1.207 6.980 -3.964
0.191 -0.433 7.490
In Hg Pd
1 2 8
Direct
0.500 0.000 0.000
0.151 0.651 0.302
0.849 0.349 0.698
0.668 0.921 0.335
0.332 0.586 0.665
0.171 0.171 0.342
0.000 0.239 0.000
0.829 0.829 0.658
0.668 0.414 0.335
0.332 0.079 0.665
0.000 0.761 0.000
```



Relative energies, meV/atom: model A 105; model B 0.



Model A:
Material: SrIn2HgPd
Method: DFT, PBE
State: relaxed

Calculated values
- calculated volume (Å³/cell) = 166.5
- Fermi-level density of states (states/eV per atom) = 0.60

The structure in POSCAR format:
```
SrIn2HgPd
1.0
5.303 0.000 0.000
0.000 5.303 0.000
0.000 0.000 5.922
Sr Hg Pd In
1 1 1 2
Direct
0.000 0.000 0.500
0.500 0.500 0.500
0.000 0.000 0.000
0.000 0.500 0.000
0.500 0.000 0.000
```



Model B:
Material: SrIn2HgPd
Method: DFT, PBE
State: relaxed

Calculated values
- calculated volume (Å³/cell) = 144.0
- Fermi-level density of states (states/eV per atom) = 0.65

The structure in POSCAR format:
```
SrIn2HgPd
1.0
5.195 0.000 0.000
0.000 5.195 0.000
0.000 0.000 5.337
Sr Hg Pd In
1 1 1 2
Direct
0.500 0.500 0.500
0.000 0.000 0.500
0.000 0.000 0.000
0.000 0.500 0.000
0.500 0.000 0.000
```



Relative energies, meV/atom: model A 0; model B 37.



Model A:
Material: Tl2InHgPd
Method: DFT, PBE
State: relaxed

Calculated values
- calculated volume (Å³/cell) = 150.5
- Fermi-level density of states (states/eV per atom) = 0.50

The structure in POSCAR format:
```
Tl2InHgPd
1.0
5.359 0.000 0.000
0.000 5.359 0.000
0.000 0.000 5.241
Tl Hg Pd In
2 1 1 1
Direct
0.000 0.500 0.000
0.500 0.000 0.000
0.500 0.500 0.500
0.000 0.000 0.000
0.000 0.000 0.500
```



Model B:
Material: Tl2InHgPd
Method: DFT, PBE
State: relaxed

Calculated values
- calculated volume (Å³/cell) = 258.3
- Fermi-level density of states (states/eV per atom) = 0.35

The structure in POSCAR format:
```
Tl2InHgPd
1.0
4.120 0.000 0.000
0.000 4.120 0.000
0.000 0.000 15.218
Tl In Hg Pd
4 2 2 2
Direct
0.000 0.500 0.740
0.000 0.500 0.106
0.500 0.000 0.894
0.500 0.000 0.260
0.000 0.000 0.500
0.500 0.500 0.500
0.500 0.000 0.666
0.000 0.500 0.334
0.500 0.000 0.076
0.000 0.500 0.924
```



Relative energies, meV/atom: model A 0; model B 90.